A plane-wave DFT calculation with GGA-PBE was carried out for a relaxed structure of LaSiTc2.

Cell: 4.218 4.218 5.961 Å, 69.27 69.27 59.98°
Fractional positions:
Si 0.703 0.703 0.892
Tc 0.000 0.000 0.999
Tc 0.299 0.299 0.102
La 0.498 0.498 0.507

Values from the calculation:
Density ... 7.2 Mg/m³
Raw formation energy ... -1.453 eV per formula unit
Space-group type ... R3m, No. 160
Fermi-level density of states ... 1.8 states/eV/f.u.
V ... 20.953 A^3/atom